AcCePdRh: optimized geometry, PBE-GGA.

Unit cell a=4.6371 b=4.6346 c=6.1499 alpha=112.15 beta=90.00 gamma=120.02
Site moments in Bohr magnetons follow the coordinates.
Fractional positions:
Ac1 0.6158 0.2316 0.4894  0.00
Rh1 0.8345 0.6690 0.1453  -0.03
Ce1 0.1215 0.2430 0.0068  0.31
Pd1 0.3945 0.7890 0.8258  -0.01

Summary:
Volume ... 25.755 Å³/atom
E above lowest polymorph ... 0.0000 eV/atom
Space group ... R3m, No. 160
Crystal system ... trigonal
Energy ... -25.26 eV/f.u.



AcCePdS4: optimized geometry, PBE-GGA.

Unit cell a=6.8823 b=5.7467 c=8.3377 alpha=90.00 beta=107.42 gamma=90.00
Site moments in Bohr magnetons follow the coordinates.
Fractional positions:
Pd1 0.7659 0.2500 0.6864  -0.04
Ce1 0.7351 0.7500 0.4371  0.36
S1 0.5638 0.2500 0.3984  -0.02
Pd2 0.2341 0.7500 0.3136  -0.04
S2 0.4362 0.7500 0.6016  -0.02
Ac1 0.2612 0.2500 0.0644  0.00
S3 0.9665 0.0215 0.2599  -0.01
S4 0.5592 0.2500 0.8770  -0.01
S5 0.0335 0.5215 0.7401  -0.01
S6 0.9665 0.4785 0.2599  -0.01
S7 0.4408 0.7500 0.1230  -0.01
Ac2 0.7388 0.7500 0.9356  0.00
S8 0.0335 0.9785 0.7401  -0.01
Ce2 0.2649 0.2500 0.5629  0.36

Summary:
Volume ... 22.475 Å³/atom
Space group ... P2_1/m, No. 11
Crystal system ... monoclinic
Energy ... -42.50 eV/f.u.
ΔE_f (raw) ... -1537 meV/atom



Q: What is the volume in the first record?
A: 25.755 Å³/atom



Please write out number 2 again, unchanged.
AcCePdS4: optimized geometry, PBE-GGA.

Unit cell a=6.8823 b=5.7467 c=8.3377 alpha=90.00 beta=107.42 gamma=90.00
Site moments in Bohr magnetons follow the coordinates.
Fractional positions:
Pd1 0.7659 0.2500 0.6864  -0.04
Ce1 0.7351 0.7500 0.4371  0.36
S1 0.5638 0.2500 0.3984  -0.02
Pd2 0.2341 0.7500 0.3136  -0.04
S2 0.4362 0.7500 0.6016  -0.02
Ac1 0.2612 0.2500 0.0644  0.00
S3 0.9665 0.0215 0.2599  -0.01
S4 0.5592 0.2500 0.8770  -0.01
S5 0.0335 0.5215 0.7401  -0.01
S6 0.9665 0.4785 0.2599  -0.01
S7 0.4408 0.7500 0.1230  -0.01
Ac2 0.7388 0.7500 0.9356  0.00
S8 0.0335 0.9785 0.7401  -0.01
Ce2 0.2649 0.2500 0.5629  0.36

Summary:
Volume ... 22.475 Å³/atom
Space group ... P2_1/m, No. 11
Crystal system ... monoclinic
Energy ... -42.50 eV/f.u.
ΔE_f (raw) ... -1537 meV/atom